Density functional theory data (PBE) for an optimized crystal structure of NaAcAu6.

a b c (Å): 5.627 5.627 5.627
angles (deg): 90.00 90.00 90.00
Fractional coordinates of all 8 atoms:
1 Au 0.500 0.244 0.000
2 Au 0.244 0.000 0.500
3 Au 0.756 0.000 0.500
4 Au 0.000 0.500 0.244
5 Au 0.500 0.756 0.000
6 Au 0.000 0.500 0.756
7 Na 0.000 0.000 0.000
8 Ac 0.500 0.500 0.500

Density functional theory data (PBE) for an optimized crystal structure of ZrNbAs2.

a b c (Å): 3.652 3.652 7.028
angles (deg): 74.94 74.94 60.00
Fractional coordinates of all 4 atoms:
1 Zr 0.669 0.669 0.994
2 As 0.087 0.087 0.739
3 As 0.247 0.247 0.259
4 Nb 0.498 0.498 0.507

no.,energy of formation (eV per atom)
1,-0.359
2,-0.776